# 1
# Li2MgNbIn2Ir2 | OQMD | PBE | relaxed
data_Li2MgNbIn2Ir2
_chemical_formula_sum 'Li2 Mg1 Nb1 In2 Ir2'
_symmetry_space_group_name_H-M 'P 1'
_symmetry_Int_Tables_number 1
_cell_length_a 4.560
_cell_length_b 4.560
_cell_length_c 6.391
_cell_angle_alpha 90.00
_cell_angle_beta 90.00
_cell_angle_gamma 90.00
loop_
_symmetry_equiv_pos_as_xyz
'x,y,z'
loop_
_atom_site_label
_atom_site_type_symbol
_atom_site_fract_x
_atom_site_fract_y
_atom_site_fract_z
Li1 Li 0.000 0.500 0.240
Li2 Li 0.500 0.000 0.760
Mg1 Mg 0.000 0.000 0.000
Nb1 Nb 0.500 0.500 0.500
In1 In 0.000 0.000 0.500
In2 In 0.500 0.500 0.000
Ir1 Ir 0.000 0.500 0.729
Ir2 Ir 0.500 0.000 0.271
# Crystal system: tetragonal
# Space group: P-4m2
# Total energy (eV/atom): -5.20


# 2
# Li2Mg2In2NiIr | OQMD | PBE | relaxed
data_Li2Mg2In2NiIr
_chemical_formula_sum 'Li2 Mg2 In2 Ni1 Ir1'
_symmetry_space_group_name_H-M 'P 1'
_symmetry_Int_Tables_number 1
_cell_length_a 4.508
_cell_length_b 4.508
_cell_length_c 6.355
_cell_angle_alpha 90.00
_cell_angle_beta 90.00
_cell_angle_gamma 90.00
loop_
_symmetry_equiv_pos_as_xyz
'x,y,z'
loop_
_atom_site_label
_atom_site_type_symbol
_atom_site_fract_x
_atom_site_fract_y
_atom_site_fract_z
Li1 Li 0.000 0.000 0.000
Li2 Li 0.500 0.500 0.500
Mg1 Mg 0.000 0.500 0.250
Mg2 Mg 0.500 0.000 0.750
In1 In 0.000 0.500 0.743
In2 In 0.500 0.000 0.257
Ni1 Ni 0.000 0.000 0.500
Ir1 Ir 0.500 0.500 0.000
# Crystal system: tetragonal
# Space group: P-4m2
# Total energy (eV/atom): -3.68


# 3
# Li2Mg2InIr2Pb | OQMD | PBE | relaxed
data_Li2Mg2InIr2Pb
_chemical_formula_sum 'Li2 Mg2 In1 Ir2 Pb1'
_symmetry_space_group_name_H-M 'P 1'
_symmetry_Int_Tables_number 1
_cell_length_a 4.586
_cell_length_b 4.586
_cell_length_c 6.477
_cell_angle_alpha 90.00
_cell_angle_beta 90.00
_cell_angle_gamma 90.00
loop_
_symmetry_equiv_pos_as_xyz
'x,y,z'
loop_
_atom_site_label
_atom_site_type_symbol
_atom_site_fract_x
_atom_site_fract_y
_atom_site_fract_z
Li1 Li 0.000 0.500 0.242
Li2 Li 0.500 0.000 0.758
Mg1 Mg 0.000 0.000 0.000
Mg2 Mg 0.500 0.500 0.500
In1 In 0.500 0.500 0.000
Ir1 Ir 0.000 0.500 0.754
Ir2 Ir 0.500 0.000 0.246
Pb1 Pb 0.000 0.000 0.500
# Crystal system: tetragonal
# Space group: P-4m2
# Total energy (eV/atom): -4.19


# 4
# Li2MgZnIn2Ir2 | OQMD | PBE | relaxed
data_Li2MgZnIn2Ir2
_chemical_formula_sum 'Li2 Mg1 Zn1 In2 Ir2'
_symmetry_space_group_name_H-M 'P 1'
_symmetry_Int_Tables_number 1
_cell_length_a 4.500
_cell_length_b 4.500
_cell_length_c 6.370
_cell_angle_alpha 90.00
_cell_angle_beta 90.00
_cell_angle_gamma 90.00
loop_
_symmetry_equiv_pos_as_xyz
'x,y,z'
loop_
_atom_site_label
_atom_site_type_symbol
_atom_site_fract_x
_atom_site_fract_y
_atom_site_fract_z
Li1 Li 0.000 0.500 0.239
Li2 Li 0.500 0.000 0.761
Mg1 Mg 0.500 0.500 0.500
Zn1 Zn 0.000 0.000 0.000
In1 In 0.000 0.000 0.500
In2 In 0.500 0.500 0.000
Ir1 Ir 0.000 0.500 0.756
Ir2 Ir 0.500 0.000 0.244
# Crystal system: tetragonal
# Space group: P-4m2
# Total energy (eV/atom): -4.09


# 5
# Li2InIrN | OQMD | PBE | relaxed
data_Li2InIrN
_chemical_formula_sum 'Li2 In1 Ir1 N1'
_symmetry_space_group_name_H-M 'P 1'
_symmetry_Int_Tables_number 1
_cell_length_a 4.303
_cell_length_b 4.303
_cell_length_c 3.782
_cell_angle_alpha 90.00
_cell_angle_beta 90.00
_cell_angle_gamma 90.00
loop_
_symmetry_equiv_pos_as_xyz
'x,y,z'
loop_
_atom_site_label
_atom_site_type_symbol
_atom_site_fract_x
_atom_site_fract_y
_atom_site_fract_z
Li1 Li 0.000 0.500 0.000
Li2 Li 0.500 0.000 0.000
In1 In 0.000 0.000 0.500
Ir1 Ir 0.500 0.500 0.500
N1 N 0.500 0.500 0.000
# Crystal system: tetragonal
# Space group: P4/mmm
# Total energy (eV/atom): -5.07


# 6
# Li2Nb2In2IrOs | OQMD | PBE | relaxed
data_Li2Nb2In2IrOs
_chemical_formula_sum 'Li2 Nb2 In2 Ir1 Os1'
_symmetry_space_group_name_H-M 'P 1'
_symmetry_Int_Tables_number 1
_cell_length_a 4.506
_cell_length_b 4.506
_cell_length_c 6.370
_cell_angle_alpha 90.00
_cell_angle_beta 90.00
_cell_angle_gamma 90.00
loop_
_symmetry_equiv_pos_as_xyz
'x,y,z'
loop_
_atom_site_label
_atom_site_type_symbol
_atom_site_fract_x
_atom_site_fract_y
_atom_site_fract_z
Li1 Li 0.000 0.000 0.000
Li2 Li 0.500 0.500 0.500
Nb1 Nb 0.000 0.500 0.249
Nb2 Nb 0.500 0.000 0.751
In1 In 0.000 0.500 0.752
In2 In 0.500 0.000 0.248
Ir1 Ir 0.000 0.000 0.500
Os1 Os 0.500 0.500 0.000
# Crystal system: tetragonal
# Space group: P-4m2
# Total energy (eV/atom): -6.45


Number 1: M_tot 0.0 μB per formula unit. Number 2: M_tot 0.0 μB per formula unit. Number 3: M_tot 0.0 μB per formula unit. Number 4: M_tot 0.0 μB per formula unit. Number 5: M_tot 0.0 μB per formula unit. Number 6: M_tot 0.0 μB per formula unit.